# 1
Computed, not measured: CoReRh2 after structural relaxation at the PBE-GGA level of DFT.

Output
DOS(E_F): 1.54 states/eV/atom
Calculated formation energy: 31.2 kJ/mol of atoms
Space-group type: Fm-3m (225)

a = 4.2681 Å, b = 4.2681 Å, c = 4.2681 Å
α = 60.00°, β = 60.00°, γ = 60.00°
Closest atoms and distances in Å follow each position.
Fractional coordinates of all 4 atoms:
Re 0.5000 0.5000 0.5000  8 Rh 2.61
Rh 0.7500 0.7500 0.7500  4 Co 2.61, 4 Re 2.61
Rh 0.2500 0.2500 0.2500  4 Re 2.61, 4 Co 2.61
Co 0.0000 0.0000 0.0000  8 Rh 2.61

# 2
Computed, not measured: CoReRh2 after structural relaxation at the PBE-GGA level of DFT.

Output
DOS(E_F): 1.16 states/eV/atom
Calculated formation energy: -1.7 kJ/mol of atoms
Space-group type: P4/mmm (123)

a = 2.7108 Å, b = 2.7108 Å, c = 7.4446 Å
α = 90.00°, β = 90.00°, γ = 90.00°
Closest atoms and distances in Å follow each position.
Fractional coordinates of all 4 atoms:
Re 0.5000 0.5000 0.7500  4 Re 2.71, 8 Rh 2.71
Co 0.5000 0.5000 0.2500  8 Rh 2.63, 4 Co 2.71
Rh 0.0000 0.0000 0.4922  4 Co 2.63, 4 Rh 2.71, 4 Re 2.71
Rh 0.0000 0.0000 0.0078  4 Co 2.63, 4 Rh 2.71, 4 Re 2.71

# 3
Computed, not measured: CoReRh5 after structural relaxation at the PBE-GGA level of DFT.

Output
DOS(E_F): 1.32 states/eV/atom
Calculated formation energy: 29.7 kJ/mol of atoms
Space-group type: C2/c (15)

a = 5.2583 Å, b = 5.2583 Å, c = 9.9608 Å
α = 62.98°, β = 62.98°, γ = 68.21°
Closest atoms and distances in Å follow each position.
Fractional coordinates of all 14 atoms:
Rh 0.0853 0.9147 0.2500  1 Re 2.47, 2 Co 2.54, 6 Rh 2.57-2.75
Rh 0.2859 0.4425 0.4778  1 Re 2.38, 1 Rh 2.66
Rh 0.5717 0.8950 0.2605  1 Re 2.48, 1 Co 2.53, 4 Rh 2.57-2.76
Rh 0.9147 0.0853 0.7500  1 Re 2.47, 2 Co 2.54, 6 Rh 2.57-2.75
Rh 0.4283 0.1050 0.7395  1 Re 2.48, 1 Co 2.53, 4 Rh 2.57-2.76
Rh 0.7141 0.5575 0.5222  1 Re 2.38, 1 Rh 2.66
Rh 0.8950 0.5717 0.7605  1 Re 2.48, 1 Co 2.53, 4 Rh 2.57-2.76
Rh 0.1050 0.4283 0.2395  1 Re 2.48, 1 Co 2.53, 4 Rh 2.57-2.76
Rh 0.5575 0.7141 0.0222  1 Re 2.38, 1 Rh 2.66
Rh 0.4425 0.2859 0.9778  1 Re 2.38, 1 Rh 2.66
Re 0.3342 0.6658 0.7500  5 Rh 2.38-2.48
Re 0.6658 0.3342 0.2500  5 Rh 2.38-2.48
Co 0.0000 0.0000 0.0000  6 Rh 2.53-2.81
Co 0.0000 0.0000 0.5000  6 Rh 2.53-2.81

# 4
Computed, not measured: CoReRh4 after structural relaxation at the PBE-GGA level of DFT.

Output
DOS(E_F): 1.13 states/eV/atom
Calculated formation energy: 50.1 kJ/mol of atoms
Space-group type: F-43m (216)

a = 5.0069 Å, b = 5.0069 Å, c = 5.0069 Å
α = 60.00°, β = 60.00°, γ = 60.00°
Closest atoms and distances in Å follow each position.
Fractional coordinates of all 6 atoms:
Re 0.0000 0.0000 0.0000  12 Rh 2.94, 4 Co 3.07
Rh 0.6247 0.1258 0.6247  6 Rh 2.50-2.51
Rh 0.6247 0.6247 0.1258  6 Rh 2.50-2.51
Rh 0.1258 0.6247 0.6247  6 Rh 2.50-2.51
Rh 0.6247 0.6247 0.6247  6 Rh 2.50-2.51
Co 0.2500 0.2500 0.2500  12 Rh 2.94, 4 Re 3.07

# 5
Computed, not measured: CoReRh after structural relaxation at the PBE-GGA level of DFT.

Output
DOS(E_F): 1.09 states/eV/atom
Calculated formation energy: 15.2 kJ/mol of atoms
Space-group type: I4mm (107)

a = 4.7010 Å, b = 4.7010 Å, c = 4.7010 Å
α = 141.39°, β = 141.39°, γ = 55.74°
Closest atoms and distances in Å follow each position.
Fractional coordinates of all 3 atoms:
Rh 0.6640 0.6640 0.0000  5 Re 2.62-2.68, 5 Co 2.65-2.68
Co 0.9868 0.9868 0.0000  4 Re 2.48, 5 Rh 2.65-2.68
Re 0.3492 0.3492 0.0000  4 Co 2.48, 5 Rh 2.62-2.68

# 6
Computed, not measured: CoReRh2 after structural relaxation at the PBE-GGA level of DFT.

Output
DOS(E_F): 1.29 states/eV/atom
Calculated formation energy: 3.6 kJ/mol of atoms
Space-group type: R-3m (166)

a = 8.7298 Å, b = 8.7298 Å, c = 8.7298 Å
α = 17.95°, β = 17.95°, γ = 17.95°
Closest atoms and distances in Å follow each position.
Fractional coordinates of all 4 atoms:
Re 0.7500 0.7500 0.7500  6 Rh 2.69, 6 Re 2.72
Rh 0.5016 0.5016 0.5016  3 Co 2.63, 3 Re 2.69, 6 Rh 2.72
Rh 0.9984 0.9984 0.9984  3 Co 2.63, 3 Re 2.69, 6 Rh 2.72
Co 0.2500 0.2500 0.2500  6 Rh 2.63, 6 Co 2.72

# 7
Computed, not measured: CoReRh2 after structural relaxation at the PBE-GGA level of DFT.

Output
DOS(E_F): 1.33 states/eV/atom
Calculated formation energy: 5.8 kJ/mol of atoms
Space-group type: P4/mmm (123)

a = 3.7806 Å, b = 3.7804 Å, c = 3.7726 Å
α = 90.00°, β = 90.00°, γ = 90.00°
Closest atoms and distances in Å follow each position.
Fractional coordinates of all 4 atoms:
Co 0.5000 0.0000 0.5000  8 Rh 2.67, 4 Re 2.67
Rh 0.0000 0.0000 0.0000  4 Re 2.67, 4 Co 2.67, 4 Rh 2.67
Rh 0.5000 0.5000 0.0000  4 Co 2.67, 4 Re 2.67, 4 Rh 2.67
Re 0.0000 0.5000 0.5000  8 Rh 2.67, 4 Co 2.67

# 8
Computed, not measured: CoReRh after structural relaxation at the PBE-GGA level of DFT.

Output
DOS(E_F): 1.21 states/eV/atom
Calculated formation energy: -2.8 kJ/mol of atoms
Space-group type: Imm2 (44)

a = 4.5993 Å, b = 4.5993 Å, c = 4.5993 Å
α = 146.28°, β = 132.39°, γ = 59.61°
Closest atoms and distances in Å follow each position.
Fractional coordinates of all 3 atoms:
Rh 0.6655 0.6655 0.0000  5 Re 2.60-2.67, 5 Co 2.63-2.66, 2 Rh 2.67
Re 0.3395 0.3395 0.0000  5 Co 2.60-2.75, 5 Rh 2.60-2.67, 2 Re 2.67
Co 0.9950 0.9950 0.0000  5 Re 2.60-2.75, 5 Rh 2.63-2.66, 2 Co 2.67

# 9
Computed, not measured: CoReRh3 after structural relaxation at the PBE-GGA level of DFT.

Output
DOS(E_F): 4.25 states/eV/atom
Calculated formation energy: 151.3 kJ/mol of atoms
Space-group type: Pm-3m (221)

a = 4.6676 Å, b = 4.6676 Å, c = 4.6676 Å
α = 90.00°, β = 90.00°, γ = 90.00°
Closest atoms and distances in Å follow each position.
Fractional coordinates of all 5 atoms:
Re 0.0000 0.0000 0.0000  6 Rh 2.33
Rh 0.5000 0.0000 0.0000  2 Re 2.33
Rh 0.0000 0.0000 0.5000  2 Re 2.33
Rh 0.0000 0.5000 0.0000  2 Re 2.33
Co 0.5000 0.5000 0.5000  12 Rh 3.30

# 10
Computed, not measured: CoReRh2 after structural relaxation at the PBE-GGA level of DFT.

Output
DOS(E_F): 1.17 states/eV/atom
Calculated formation energy: -0.2 kJ/mol of atoms
Space-group type: Pmm2 (25)

a = 2.6832 Å, b = 3.7728 Å, c = 5.3487 Å
α = 90.00°, β = 90.00°, γ = 90.00°
Closest atoms and distances in Å follow each position.
Fractional coordinates of all 4 atoms:
Rh 0.0000 0.0000 0.9917  2 Co 2.61-2.74, 4 Re 2.68, 6 Rh 2.68-2.74
Rh 0.5000 0.5000 0.2666  1 Re 2.52, 4 Co 2.64, 6 Rh 2.68-2.74
Re 0.5000 0.5000 0.7383  5 Rh 2.52-2.68, 4 Co 2.63, 2 Re 2.68
Co 0.0000 0.0000 0.5034  6 Rh 2.61-2.74, 4 Re 2.63, 2 Co 2.68

# 11
Computed, not measured: CoReRh2 after structural relaxation at the PBE-GGA level of DFT.

Output
DOS(E_F): 1.71 states/eV/atom
Calculated formation energy: 20.8 kJ/mol of atoms
Space-group type: P4mm (99)

a = 3.1144 Å, b = 3.1144 Å, c = 5.7070 Å
α = 90.00°, β = 90.00°, γ = 90.00°
Closest atoms and distances in Å follow each position.
Fractional coordinates of all 4 atoms:
Rh 0.5000 0.5000 0.2782  1 Re 2.52, 4 Co 2.59, 4 Rh 2.77
Rh 0.0000 0.0000 0.9848  4 Re 2.67, 1 Co 2.67, 4 Rh 2.77
Co 0.0000 0.0000 0.5168  4 Re 2.49, 5 Rh 2.59-2.67
Re 0.5000 0.5000 0.7202  4 Co 2.49, 5 Rh 2.52-2.67

# 12
Computed, not measured: CoReRh2 after structural relaxation at the PBE-GGA level of DFT.

Output
DOS(E_F): 1.17 states/eV/atom
Calculated formation energy: 2.7 kJ/mol of atoms
Space-group type: I-4m2 (119)

a = 4.6288 Å, b = 4.6288 Å, c = 4.6288 Å
α = 131.83°, β = 131.82°, γ = 70.50°
Closest atoms and distances in Å follow each position.
Fractional coordinates of all 4 atoms:
Re 0.7500 0.2500 0.5000  8 Rh 2.67, 4 Co 2.67
Rh 0.0000 0.0000 0.0000  4 Co 2.67, 4 Re 2.67, 4 Rh 2.67
Rh 0.2500 0.7500 0.5000  4 Re 2.67, 4 Rh 2.67, 4 Co 2.67
Co 0.5000 0.5000 0.0000  8 Rh 2.67, 4 Re 2.67

no.,calculated density (Mg/m³)
1,13.620
2,13.688
3,11.800
4,12.287
5,14.398
6,13.579
7,13.888
8,14.618
9,9.044
10,13.830
11,13.527
12,13.879